Arrangement one

The following is a DFT calculation (PBE-GGA) of a relaxed structure of CrCu3Ni.

The density of states at the Fermi level comes out at 0.5532 states/eV per atom. The calculation puts the density at 6.06 g/cm³. For the total magnetization, the calculation gives 4.733 μB per cell.

CIF file:
```
data_CrCu3Ni
_chemical_formula_sum 'Cr1 Cu3 Ni1'
_cell_length_a 4.3544
_cell_length_b 4.3544
_cell_length_c 4.3544
_cell_angle_alpha 90.00
_cell_angle_beta 90.00
_cell_angle_gamma 90.00
_symmetry_space_group_name_H-M 'P m -3 m'
_symmetry_Int_Tables_number 221
_symmetry_space_group_name_Hall '-P 4 2 3'
loop_
_atom_site_label
_atom_site_type_symbol
_atom_site_fract_x
_atom_site_fract_y
_atom_site_fract_z
_atom_site_occupancy
Cr1 Cr 0.0000 0.0000 0.0000 1
Cu1 Cu 0.0000 0.5000 0.5000 1
Ni1 Ni 0.5000 0.5000 0.5000 1
```



Arrangement two

The following is a DFT calculation (PBE-GGA) of a relaxed structure of CrCu3Ni.

The density of states at the Fermi level comes out at 0.8875 states/eV per atom. The calculation puts the density at 5.68 g/cm³. For the total magnetization, the calculation gives 4.750 μB per cell.

CIF file:
```
data_CrCu3Ni
_chemical_formula_sum 'Cr1 Cu3 Ni1'
_cell_length_a 4.4483
_cell_length_b 4.4483
_cell_length_c 4.4483
_cell_angle_alpha 90.00
_cell_angle_beta 90.00
_cell_angle_gamma 90.00
_symmetry_space_group_name_H-M 'P m -3 m'
_symmetry_Int_Tables_number 221
_symmetry_space_group_name_Hall '-P 4 2 3'
loop_
_atom_site_label
_atom_site_type_symbol
_atom_site_fract_x
_atom_site_fract_y
_atom_site_fract_z
_atom_site_occupancy
Cr1 Cr 0.0000 0.0000 0.0000 1
Cu1 Cu 0.0000 0.0000 0.5000 1
Ni1 Ni 0.5000 0.5000 0.5000 1
```



Relative energies with respect to the most stable structure, expressed in meV/atom: arrangement one 0; arrangement two 563.